Record 1
Density functional theory data (PBE-GGA) for crystalline Cs3LaI6 at its relaxed geometry.

Geometry as extended XYZ:
```
20
Lattice="-0.3471 -2.6725 8.7277 9.4879 -2.3312 -0.3365 3.0624 11.8502 4.2501" Properties=species:S:1:pos:R:3 pbc="T T T"
Cs 1.5312 5.9251 2.1251
I 9.3481 -1.8364 8.2180
I 2.7369 -0.1544 1.6532
I 7.3728 6.3291 6.1097
La 0.0000 0.0000 0.0000
Cs 10.8840 5.4172 7.5597
Cs 4.5704 -2.5018 4.1956
I 4.3183 8.8838 10.2471
I 7.8371 2.8969 8.9330
I 4.8304 0.5174 6.5316
I 8.4817 2.3204 4.4860
I 2.8550 8.6829 4.4233
La 6.1016 3.4233 6.3207
I 7.8848 -2.0373 2.3943
I 4.3661 3.9496 3.7083
Cs 5.9367 5.2172 11.4550
Cs 1.3192 1.4293 5.0817
I 3.7214 4.5261 8.1553
Cs 6.2664 1.6293 1.1864
I 9.4663 7.0010 10.9881
```

Calculated values
For the energy above the most stable polymorph in this dataset, the calculation gives 3 kJ/mol of formula units. Its density is 3.73 g cm⁻³. As for the crystal system: monoclinic. The uncorrected formation energy is -1565.9 meV/atom. Its total moment is 0.00 μB/cell.

---

Record 2
Density functional theory data (PBE-GGA) for crystalline Cs2La3I8 at its relaxed geometry.

Geometry as extended XYZ:
```
13
Lattice="-0.6950 -5.2179 7.3257 7.6231 -1.1127 -0.0694 -0.5849 10.5969 1.9383" Properties=species:S:1:pos:R:3 pbc="T T T"
I 3.7193 4.3433 6.2481
I -0.1554 3.3801 7.9469
I -0.0513 6.4059 4.5579
La -0.1507 -1.1318 1.5890
I 4.0699 6.9754 2.5528
Cs 1.9599 3.7382 2.8485
I 6.3945 -2.1396 4.6367
Cs 4.3833 0.5281 6.3461
I 2.6239 -0.0770 2.9465
La -0.5442 -4.0861 5.7367
La 3.8115 -0.5564 -0.0347
I 2.2733 -2.7091 6.6418
I 6.4986 0.8861 1.2477
```

Calculated values
Its density is 4.24 g cm⁻³. As for the crystal system: monoclinic. The uncorrected formation energy is -1413.1 meV/atom. Its total moment is 2.73 μB/cell.